Pm6CoI12 | Alexandria via LeMat-Bulk | PBE | relaxed; total magnetic moment = 0.00 μB per atom; formation energy from raw total energies = -0.9623 eV/atom
1.0
-3.279 8.290 2.209
-8.491 -1.599 3.117
0.743 0.448 9.144
I Pm Co
12 6 1
direct
0.573 0.110 0.110
0.173 0.554 0.554
0.890 0.890 0.427
0.110 0.573 0.110
0.110 0.110 0.573
0.827 0.446 0.446
0.446 0.827 0.446
0.554 0.173 0.554
0.446 0.446 0.827
0.554 0.554 0.173
0.890 0.427 0.890
0.427 0.890 0.890
0.783 0.783 0.181
0.217 0.819 0.217
0.783 0.181 0.783
0.819 0.217 0.217
0.181 0.783 0.783
0.217 0.217 0.819
0.000 0.000 0.000


PmCoI2 | Alexandria via LeMat-Bulk | PBE | relaxed; total magnetic moment = 0.49 μB per atom; formation energy from raw total energies = -0.0151 eV/atom
1.0
-3.370 -1.972 0.815
-0.702 -3.538 -1.702
2.812 -6.052 6.746
I Pm Co
2 1 1
direct
0.887 0.887 0.338
0.113 0.113 0.662
0.000 0.000 0.000
0.500 0.500 0.500


Pm3CoI3 | Alexandria via LeMat-Bulk | PBE | relaxed; total magnetic moment = 0.00 μB per atom; formation energy from raw total energies = -0.9278 eV/atom
1.0
4.250 0.000 0.000
0.000 9.260 -0.455
0.000 0.011 12.229
Co Pm I
2 6 6
direct
0.250 0.892 0.383
0.750 0.108 0.617
0.750 0.097 0.397
0.250 0.903 0.603
0.250 0.303 0.616
0.750 0.111 0.825
0.250 0.889 0.175
0.750 0.697 0.384
0.750 0.606 0.637
0.750 0.135 0.118
0.250 0.394 0.363
0.250 0.364 0.876
0.250 0.865 0.882
0.750 0.636 0.124


Pm4Co2I5 | Alexandria via LeMat-Bulk | PBE | relaxed; total magnetic moment = 0.02 μB per atom; formation energy from raw total energies = -0.7748 eV/atom
1.0
4.160 0.000 0.000
0.000 8.822 0.445
-2.080 -2.137 10.979
Pm I Co
4 5 2
direct
0.018 0.704 0.036
0.982 0.296 0.964
0.343 0.426 0.685
0.657 0.574 0.315
0.811 0.675 0.621
0.500 0.000 0.000
0.189 0.325 0.379
0.839 0.153 0.678
0.161 0.847 0.322
0.452 0.494 0.904
0.548 0.506 0.096